DFT (GGA-PBE) results for crystalline Cs2PaCd2As4 at its relaxed geometry.

POSCAR file:
```
Cs2PaCd2As4
1.0
4.423 0.000 0.000
0.000 8.532 0.572
-2.212 -2.848 7.490
Cd As Pa Cs
2 4 1 2
direct
0.669 0.972 0.339
0.331 0.028 0.661
0.188 0.160 0.376
0.812 0.840 0.624
0.498 0.217 0.996
0.502 0.783 0.004
0.000 0.000 0.000
0.135 0.567 0.270
0.865 0.433 0.730
```

Properties
Space-group type: C2/m
Energy relative to the elements in meV/atom: -514
Magnetic moment in Bohr magnetons per cell: 0.000
E in eV/atom: -4.029